First-principles (GGA+U) data for a relaxed structure of WBrCl3O, as listed in Alexandria via LeMat-Bulk.

```
WBrCl3O
1.0
3.868 0.000 0.000
1.923 6.842 0.000
1.921 0.034 6.913
W Br Cl O
1 1 3 1
Direct
0.000 0.000 0.000
0.907 0.809 0.306
0.018 0.179 0.713
0.195 0.711 0.825
0.734 0.288 0.176
0.476 0.000 0.000
```

Summary:
DFT total energy (eV/atom): -4.251
Total magnetization (Bohr magnetons per cell): 0.0